Density functional theory data (PBE) for an optimized crystal structure of Pr2SmPaAs4.

a b c (Å): 4.225 7.298 7.327
angles (deg): 109.40 90.00 90.00
Element x y z (fractional)
As1 0.000 0.260 0.764
As2 0.500 0.746 0.762
As3 0.500 0.254 0.238
As4 0.000 0.740 0.236
Pr1 0.000 0.500 0.500
Pr2 0.500 0.000 0.500
Sm1 0.000 0.000 0.000
Pa1 0.500 0.500 0.000

Properties
As for the space group: P2/m (10). As for the density of states at the Fermi level: 5.41 states/eV/cell. Its total DFT energy (no corrections) is -6.70 eV per atom. The total magnetic moment is 0.00 Bohr magnetons per cell. Its formation energy is -1.4055 eV per atom.